LiYMg2 | GGA-PBE | relaxed

extended XYZ file:
```
8
Lattice="4.368 0.000 0.000 0.000 4.368 0.000 2.184 2.184 10.931" Properties=species:S:1:pos:R:3 pbc="T T T"
Mg 3.161 1.092 2.733
Mg 3.276 3.391 8.198
Mg 5.461 5.346 8.198
Mg 1.207 3.276 2.733
Y 4.368 2.184 5.466
Y 0.000 0.000 0.000
Li 2.184 4.368 5.466
Li 2.184 2.184 0.000
```

Values from the calculation:
- energy of formation from the pure elements (kJ/mol of formula units) = 102
- spin magnetization (μB/atom) = 0.000
- E above lowest polymorph (meV/atom) = 323
- symmetry = I-42d